Ba2MnV after structural relaxation. Source: Alexandria via LeMat-Bulk, functional PBE-GGA.

```
8
Lattice="-7.638 4.544 1.449 -0.471 -3.441 8.308 -2.254 3.195 6.075" Properties=species:S:1:pos:R:3 pbc="T T T"
Mn 0.000 0.000 0.000
Mn -6.973 4.145 6.201
Ba -5.400 3.211 3.464
Ba -1.808 -0.786 6.892
Ba -4.731 2.812 8.211
Ba -8.786 3.360 13.099
V -4.054 0.551 4.878
V -3.390 0.153 9.631
```

Results
E_form: 4.4 eV/f.u.
Space-group type: I-42d